[1]
The following is a DFT calculation (PBE-GGA) of Mg2ZnSi after structural relaxation.

abc: 8.8715 8.8715 8.8715
angles: 20.48 20.48 20.48
With the nearest neighbours (Å) after each atom.
Atoms (fractional coordinates):
Mg1 0.0000 0.0000 0.0000  3 Si 2.83, 3 Zn 2.83, 6 Mg 3.15
Mg2 0.5000 0.5000 0.5000  3 Si 2.83, 3 Zn 2.83, 6 Mg 3.15
Si1 0.2500 0.2500 0.2500  6 Mg 2.83, 6 Si 3.15
Zn1 0.7500 0.7500 0.7500  6 Mg 2.83, 6 Zn 3.15

Results
* formation energy without anion corrections: 0.148 eV per atom
* density: 3.2 g/cm³
* total magnetization: 0.112 μB/atom

[2]
The following is a DFT calculation (PBE-GGA) of ZnHg4Te5 after structural relaxation.

abc: 19.1185 19.1185 19.1185
angles: 13.94 13.94 13.94
With the nearest neighbours (Å) after each atom.
Atoms (fractional coordinates):
Zn1 0.5998 0.5998 0.5998  4 Te 2.67-2.78
Te1 0.0482 0.0482 0.0482  4 Hg 2.86
Te2 0.4497 0.4497 0.4497  4 Hg 2.86
Te3 0.8513 0.8513 0.8513  4 Hg 2.86-2.87
Te4 0.2532 0.2532 0.2532  3 Zn 2.78, 1 Hg 2.87
Te5 0.6469 0.6469 0.6469  1 Zn 2.67, 3 Hg 2.86
Hg1 0.9979 0.9979 0.9979  4 Te 2.86
Hg2 0.3993 0.3993 0.3993  4 Te 2.86
Hg3 0.8009 0.8009 0.8009  4 Te 2.86
Hg4 0.2026 0.2026 0.2026  4 Te 2.87

Results
* formation energy without anion corrections: -0.208 eV per atom
* density: 7.1 g/cm³
* total magnetization: 0.000 μB/atom

[3]
The following is a DFT calculation (PBE-GGA) of Y2MnCdBi after structural relaxation.

abc: 5.2218 5.0279 5.2218
angles: 90.00 90.00 90.00
With the nearest neighbours (Å) after each atom.
Atoms (fractional coordinates):
Y1 0.0000 0.0000 0.5000  2 Mn 2.61
Y2 0.5000 0.0000 0.0000  2 Mn 2.61
Mn1 0.0000 0.0000 0.0000  2 Bi 2.51, 4 Y 2.61
Bi1 0.0000 0.5000 0.0000  2 Mn 2.51
Cd1 0.5000 0.5000 0.5000  8 Y 3.62, 4 Bi 3.69

Results
* density: 6.7 g/cm³
* energy of formation: 62 meV per atom
* total magnetization: 0.241 μB/atom

[4]
The following is a DFT calculation (PBE-GGA) of Pu2SiS after structural relaxation.

abc: 3.3073 3.3073 7.4736
angles: 90.00 90.00 90.00
With the nearest neighbours (Å) after each atom.
Atoms (fractional coordinates):
S1 0.5000 0.5000 0.5000  8 Pu 2.95
Si1 0.5000 0.5000 0.0000  8 Pu 3.04, 4 Si 3.31
Pu1 0.0000 0.0000 0.7397  4 S 2.95, 4 Si 3.04
Pu2 0.0000 0.0000 0.2603  4 S 2.95, 4 Si 3.04

Results
* formation energy without anion corrections: -0.867 eV per atom
* density: 11.1 g/cm³
* total magnetization: 2.792 μB/atom
* excess energy over the best structure of this formula in the dataset: 152 meV per atom

[5]
The following is a DFT calculation (PBE-GGA) of Ac3ThN4 after structural relaxation.

abc: 6.6361 6.6561 7.7022
angles: 90.00 90.00 109.37
With the nearest neighbours (Å) after each atom.
Atoms (fractional coordinates):
Ac1 0.7500 0.0000 0.3747  6 N 2.73-2.76
Ac2 0.2500 0.0000 0.6253  6 N 2.73-2.76
Ac3 0.7500 0.5000 0.6275  6 N 2.68-2.95
Ac4 0.7500 0.5000 0.1243  6 N 2.71-2.88
Ac5 0.2500 0.5000 0.3725  6 N 2.68-2.95
Ac6 0.2500 0.5000 0.8757  6 N 2.71-2.88
Th1 0.7500 0.0000 0.8756  6 N 2.50-2.62
Th2 0.2500 0.0000 0.1244  6 N 2.50-2.62
N1 0.9783 0.2358 0.6475  1 Th 2.50, 4 Ac 2.68-2.76
N2 0.5063 0.2260 0.8856  2 Th 2.55-2.62, 3 Ac 2.71-2.82
N3 0.4783 0.2358 0.3525  1 Th 2.50, 4 Ac 2.68-2.76
N4 0.0063 0.2260 0.1144  2 Th 2.55-2.62, 3 Ac 2.71-2.82
N5 0.9937 0.7740 0.8856  2 Th 2.55-2.62, 3 Ac 2.71-2.82
N6 0.5217 0.7642 0.6475  1 Th 2.50, 4 Ac 2.68-2.76
N7 0.4937 0.7740 0.1144  2 Th 2.55-2.62, 3 Ac 2.71-2.82
N8 0.0217 0.7642 0.3525  1 Th 2.50, 4 Ac 2.68-2.76

Results
* formation energy without anion corrections: -1.230 eV per atom
* density: 10.0 g/cm³
* total magnetization: 0.000 μB/atom
* excess energy over the best structure of this formula in the dataset: 0 meV per atom

[6]
The following is a DFT calculation (PBE-GGA) of MnTe2H4 after structural relaxation.

abc: 3.4619 3.4619 9.6694
angles: 79.69 79.69 90.00
With the nearest neighbours (Å) after each atom.
Atoms (fractional coordinates):
H1 0.7270 0.7270 0.5459  1 Te 1.70
H2 0.2730 0.2730 0.4541  1 Te 1.70
H3 0.0000 0.5000 0.0000  2 Mn 1.73
H4 0.5000 0.0000 0.0000  2 Mn 1.73
Te1 0.6362 0.6362 0.7276  1 H 1.70
Te2 0.3638 0.3638 0.2724  1 H 1.70
Mn1 0.0000 0.0000 0.0000  4 H 1.73

Results
* density: 4.7 g/cm³
* total magnetization: 0.586 μB/atom
* E_tot: -3.76 eV per atom

[7]
The following is a DFT calculation (PBE-GGA) of Ni6Pt2Rh after structural relaxation.

abc: 7.5306 6.8376 6.8376
angles: 68.28 125.54 125.54
With the nearest neighbours (Å) after each atom.
Atoms (fractional coordinates):
Ni1 0.4168 0.1365 0.6906  6 Ni 2.36-2.59, 1 Pt 2.53, 1 Rh 2.59
Ni2 0.0832 0.3094 0.8635  6 Ni 2.36-2.59, 1 Pt 2.53, 1 Rh 2.59
Ni3 0.5832 0.8635 0.3094  6 Ni 2.36-2.59, 1 Pt 2.53, 1 Rh 2.59
Ni4 0.9168 0.6906 0.1365  6 Ni 2.36-2.59, 1 Pt 2.53, 1 Rh 2.59
Ni5 0.0379 0.1874 0.5302  7 Ni 2.42-2.59, 2 Pt 2.52-2.68, 1 Rh 2.68
Ni6 0.4621 0.4698 0.8126  7 Ni 2.42-2.59, 2 Pt 2.52-2.68, 1 Rh 2.68
Ni7 0.9621 0.8126 0.4698  7 Ni 2.42-2.59, 2 Pt 2.52-2.68, 1 Rh 2.68
Ni8 0.5379 0.5302 0.1874  7 Ni 2.42-2.59, 2 Pt 2.52-2.68, 1 Rh 2.68
Ni9 0.2130 0.1177 0.2697  5 Ni 2.36-2.58, 3 Pt 2.50-2.62, 2 Rh 2.50-2.53
Ni10 0.2870 0.7303 0.8823  5 Ni 2.36-2.58, 3 Pt 2.50-2.62, 2 Rh 2.50-2.53
Ni11 0.7870 0.8823 0.7303  5 Ni 2.36-2.58, 3 Pt 2.50-2.62, 2 Rh 2.50-2.53
Ni12 0.7130 0.2697 0.1177  5 Ni 2.36-2.58, 3 Pt 2.50-2.62, 2 Rh 2.50-2.53
Pt1 0.1761 0.4739 0.2270  8 Ni 2.50-2.77, 2 Pt 2.72-2.74
Pt2 0.3239 0.7730 0.5261  8 Ni 2.50-2.77, 2 Pt 2.72-2.74
Pt3 0.8239 0.5261 0.7730  8 Ni 2.50-2.77, 2 Pt 2.72-2.74
Pt4 0.6761 0.2270 0.4739  8 Ni 2.50-2.77, 2 Pt 2.72-2.74
Rh1 0.2500 0.0192 0.9808  10 Ni 2.50-2.69
Rh2 0.7500 0.9808 0.0192  10 Ni 2.50-2.69

Results
* density: 12.1 g/cm³
* energy of formation: 109 meV per atom
* total magnetization: 0.680 μB/atom
* excess energy over the best structure of this formula in the dataset: 0 meV per atom

[8]
The following is a DFT calculation (PBE-GGA) of NdSm2Lu after structural relaxation.

abc: 5.7331 5.7331 5.7331
angles: 60.00 60.00 60.00
With the nearest neighbours (Å) after each atom.
Atoms (fractional coordinates):
Lu1 0.0000 0.0000 0.0000  8 Sm 3.51
Nd1 0.5000 0.5000 0.5000  8 Sm 3.51
Sm1 0.2500 0.2500 0.2500  4 Nd 3.51, 4 Lu 3.51
Sm2 0.7500 0.7500 0.7500  4 Lu 3.51, 4 Nd 3.51

Results
* density: 7.7 g/cm³
* energy of formation: 144 meV per atom
* total magnetization: 0.142 μB/atom
* excess energy over the best structure of this formula in the dataset: 121 meV per atom

[9]
The following is a DFT calculation (PBE-GGA) of In2Ga6Hg after structural relaxation.

abc: 3.4457 7.7735 8.7046
angles: 116.52 104.25 90.00
With the nearest neighbours (Å) after each atom.
Atoms (fractional coordinates):
In1 0.8457 0.3682 0.7365  10 Ga 3.06-3.25
In2 0.1543 0.6318 0.2635  10 Ga 3.06-3.25
Ga1 0.6728 0.3579 0.3673  4 Ga 2.71-2.91
Ga2 0.3272 0.6421 0.6327  4 Ga 2.71-2.91
Ga3 0.3272 0.9907 0.6327  4 Ga 2.71-2.91
Ga4 0.5000 0.7071 0.0000  2 Hg 2.86, 2 Ga 2.91, 4 In 3.06-3.09
Ga5 0.5000 0.2929 0.0000  2 Hg 2.86, 2 Ga 2.91, 4 In 3.06-3.09
Ga6 0.6728 0.0093 0.3673  4 Ga 2.71-2.91
Hg1 0.0000 0.0000 0.0000  4 Ga 2.86

Results
* density: 7.0 g/cm³
* energy of formation: 77 meV per atom
* total magnetization: 0.000 μB/atom

[10]
The following is a DFT calculation (PBE-GGA) of Sr2NbCdSb after structural relaxation.

abc: 6.2868 5.3033 6.2868
angles: 90.00 90.00 90.00
With the nearest neighbours (Å) after each atom.
Atoms (fractional coordinates):
Sb1 0.0000 0.0000 0.0000  2 Nb 2.65
Nb1 0.0000 0.5000 0.0000  2 Sb 2.65
Sr1 0.0000 0.0000 0.5000  2 Sb 3.14
Sr2 0.5000 0.0000 0.0000  2 Sb 3.14
Cd1 0.5000 0.5000 0.5000  8 Sr 4.11, 4 Nb 4.45

Results
* formation energy without anion corrections: 0.304 eV per atom
* density: 4.0 g/cm³
* total magnetization: 0.716 μB/atom

[11]
The following is a DFT calculation (PBE-GGA) of ZnIn2Si after structural relaxation.

abc: 4.9698 4.9698 4.9698
angles: 60.00 60.00 60.00
With the nearest neighbours (Å) after each atom.
Atoms (fractional coordinates):
Zn1 0.5000 0.5000 0.5000  8 In 3.04
Si1 0.0000 0.0000 0.0000  8 In 3.04
In1 0.2500 0.2500 0.2500  4 Si 3.04, 4 Zn 3.04
In2 0.7500 0.7500 0.7500  4 Si 3.04, 4 Zn 3.04

Results
* formation energy without anion corrections: 0.317 eV per atom
* density: 6.2 g/cm³
* total magnetization: 0.000 μB/atom
* excess energy over the best structure of this formula in the dataset: 137 meV per atom

[12]
The following is a DFT calculation (PBE-GGA) of TaCu2Au after structural relaxation.

abc: 5.4245 5.4245 5.4245
angles: 150.26 126.67 62.26
With the nearest neighbours (Å) after each atom.
Atoms (fractional coordinates):
Au1 0.2500 0.7500 0.5000  4 Cu 2.70, 2 Au 2.78, 4 Ta 2.80
Cu1 0.0011 0.0011 0.0000  2 Au 2.70, 2 Ta 2.72, 6 Cu 2.78-2.80
Cu2 0.4989 0.4989 0.0000  2 Au 2.70, 2 Ta 2.72, 6 Cu 2.78-2.80
Ta1 0.7500 0.2500 0.5000  4 Cu 2.72, 2 Ta 2.78, 4 Au 2.80

Results
* density: 13.3 g/cm³
* energy of formation: 218 meV per atom
* total magnetization: 0.000 μB/atom
* excess energy over the best structure of this formula in the dataset: 191 meV per atom